A plane-wave DFT calculation with GGA-PBE was carried out for an optimized crystal structure of La3CuN.

Summary:
offset from the most stable computed form = 0.067 eV per atom
space group = No. 221
formation energy without anion corrections = -0.493 eV/atom
theoretical density = 6395 kg/m³

The structure in extended XYZ format:
```
5
Lattice="5.044 0.000 0.000 0.000 5.044 0.000 0.000 0.000 5.044" Properties=species:S:1:pos:R:3 pbc="T T T"
N 0.000 0.000 0.000
Cu 2.522 2.522 2.522
La 0.000 2.522 0.000
La 0.000 0.000 2.522
La 2.522 0.000 0.000
```